# KNiCl PBE optimized geometry
# Total magnetic moment: 0.0000 μB/atom
# E above lowest polymorph: 77 meV/atom
# VASP energy: -3.447 eV/atom
# Uncorrected formation energy: -0.54 eV/atom
data_KNiCl
_chemical_formula_sum 'K2 Ni2 Cl2'
_symmetry_space_group_name_H-M 'P 1'
_symmetry_Int_Tables_number 1
_cell_length_a 4.6560
_cell_length_b 8.0038
_cell_length_c 6.7111
_cell_angle_alpha 109.72
_cell_angle_beta 46.11
_cell_angle_gamma 99.92
loop_
_symmetry_equiv_pos_as_xyz
'x,y,z'
loop_
_atom_site_label
_atom_site_type_symbol
_atom_site_fract_x
_atom_site_fract_y
_atom_site_fract_z
Cl1 Cl 0.3907 0.2007 0.3386
Cl2 Cl 0.5028 0.7503 0.6133
Ni1 Ni 0.4959 0.4675 0.4721
Ni2 Ni 0.9912 0.3778 0.4271
K1 K 0.3291 0.1576 0.8170
K2 K 0.5021 0.6721 0.0743